Compound: CdNi3N
Source: Alexandria
Functional: PBE-GGA
Structure: optimized geometry

Computed properties:
Energy relative to the elements, uncorrected: -0.01 eV per atom
Fermi-level density of states: 0.65 states/eV per atom
Uncorrected energy: -53.3 eV per cell
Polymorph energy (0 for the lowest one): 0.054 eV per atom
SG: Cmmm (65)

Structure (POSCAR):
```
CdNi3N
1.0
2.7598 -5.5684 0.0000
2.7598 5.5684 0.0000
0.0000 0.0000 3.7913
Cd Ni N
2 6 2
Direct
0.1259 0.8741 0.0000
0.8741 0.1259 0.0000
0.0000 0.5000 0.5000
0.2705 0.2705 0.5000
0.3736 0.6264 0.0000
0.5000 0.0000 0.5000
0.6264 0.3736 0.0000
0.7295 0.7295 0.5000
0.3680 0.6320 0.5000
0.6320 0.3680 0.5000
```